The following is a DFT calculation (GGA-PBE) of Hf4ZnGe after structural relaxation.

Unit cell a=6.6868 b=6.6868 c=5.2434 alpha=90.00 beta=90.00 gamma=90.00
Closest atoms and distances in Å follow each position.
Atoms (fractional coordinates):
1 Hf 0.1532 0.3471 0.0000  2 Ge 2.85, 2 Zn 2.86, 1 Hf 2.89
2 Hf 0.1532 0.6529 0.5000  2 Ge 2.85, 2 Zn 2.86, 1 Hf 2.89
3 Hf 0.3471 0.1532 0.5000  2 Ge 2.85, 2 Zn 2.86, 1 Hf 2.89
4 Hf 0.3471 0.8468 0.0000  2 Ge 2.85, 2 Zn 2.86, 1 Hf 2.89
5 Hf 0.6529 0.1532 0.0000  2 Ge 2.85, 2 Zn 2.86, 1 Hf 2.89
6 Hf 0.6529 0.8468 0.5000  2 Ge 2.85, 2 Zn 2.86, 1 Hf 2.89
7 Hf 0.8468 0.3471 0.5000  2 Ge 2.85, 2 Zn 2.86, 1 Hf 2.89
8 Hf 0.8468 0.6529 0.0000  2 Ge 2.85, 2 Zn 2.86, 1 Hf 2.89
9 Zn 0.0000 0.0000 0.2500  2 Zn 2.62, 8 Hf 2.86
10 Zn 0.0000 0.0000 0.7500  2 Zn 2.62, 8 Hf 2.86
11 Ge 0.5000 0.5000 0.2500  2 Ge 2.62, 8 Hf 2.85
12 Ge 0.5000 0.5000 0.7500  2 Ge 2.62, 8 Hf 2.85

Summary:
Space-group type   No. 124
Electronic total energy   -7.990 eV per atom



The following is a DFT calculation (GGA-PBE) of HfZnGe2 after structural relaxation.

Unit cell a=4.2790 b=4.2790 c=3.8106 alpha=90.00 beta=90.00 gamma=90.00
Closest atoms and distances in Å follow each position.
Atoms (fractional coordinates):
1 Hf 0.0000 0.0000 0.0000  8 Ge 2.86, 4 Zn 3.03
2 Zn 0.5000 0.5000 0.0000  8 Ge 2.86, 4 Hf 3.03
3 Ge 0.0000 0.5000 0.5000  4 Zn 2.86, 4 Hf 2.86, 4 Ge 3.03
4 Ge 0.5000 0.0000 0.5000  4 Zn 2.86, 4 Hf 2.86, 4 Ge 3.03

Summary:
Space-group type   No. 123
Electronic total energy   -5.322 eV per atom



The following is a DFT calculation (GGA-PBE) of Hf2ZnGe after structural relaxation.

Unit cell a=6.6535 b=6.6535 c=6.6535 alpha=90.00 beta=90.00 gamma=90.00
Closest atoms and distances in Å follow each position.
Atoms (fractional coordinates):
1 Hf 0.2500 0.2500 0.2500  4 Ge 2.88, 4 Zn 2.88
2 Hf 0.2500 0.2500 0.7500  4 Ge 2.88, 4 Zn 2.88
3 Hf 0.2500 0.7500 0.2500  4 Ge 2.88, 4 Zn 2.88
4 Hf 0.2500 0.7500 0.7500  4 Ge 2.88, 4 Zn 2.88
5 Hf 0.7500 0.2500 0.2500  4 Ge 2.88, 4 Zn 2.88
6 Hf 0.7500 0.2500 0.7500  4 Ge 2.88, 4 Zn 2.88
7 Hf 0.7500 0.7500 0.2500  4 Ge 2.88, 4 Zn 2.88
8 Hf 0.7500 0.7500 0.7500  4 Ge 2.88, 4 Zn 2.88
9 Zn 0.0000 0.0000 0.0000  8 Hf 2.88
10 Zn 0.0000 0.5000 0.5000  8 Hf 2.88
11 Zn 0.5000 0.0000 0.5000  8 Hf 2.88
12 Zn 0.5000 0.5000 0.0000  8 Hf 2.88
13 Ge 0.0000 0.0000 0.5000  8 Hf 2.88
14 Ge 0.0000 0.5000 0.0000  8 Hf 2.88
15 Ge 0.5000 0.0000 0.0000  8 Hf 2.88
16 Ge 0.5000 0.5000 0.5000  8 Hf 2.88

Summary:
Space-group type   No. 225
Energy above the most stable polymorph in this dataset   0.271 eV/atom
Electronic total energy   -6.664 eV per atom



Number 1: energy of formation -2.24 eV per formula unit, size of the total moment 0.000 μB per atom. Number 2: energy of formation -0.82 eV per formula unit, size of the total moment 0.000 μB per atom. Number 3: energy of formation -0.86 eV per formula unit, size of the total moment 0.000 μB per atom.